First-principles (PBE) data for FeRhAu2 after structural relaxation, as listed in Alexandria via LeMat-Bulk.

abc: 2.9560 3.5492 6.0625
angles: 90.00 90.17 90.00
Last column: nearest neighbours and their distance in Å.
Space group Pm (No. 6)
Inequivalent atoms, fractional coordinates:
Fe 0.0000 0.0000 0.0000 (multiplicity 1)  4 Rh 2.60-2.61, 5 Au 2.78-2.82
Rh 0.5010 0.5000 0.8022 (multiplicity 1)  4 Fe 2.60-2.61, 5 Au 2.75-2.82
Au 0.0003 0.0000 0.5351 (multiplicity 1)  1 Fe 2.82, 4 Rh 2.82, 6 Au 2.86-2.96
Au 0.4997 0.5000 0.2564 (multiplicity 1)  1 Rh 2.75, 4 Fe 2.78-2.79, 6 Au 2.86-2.96

Computed properties:
* relative energy among the computed polymorphs: 21 meV per atom

=====

First-principles (PBE) data for Fe2RhAu after structural relaxation, as listed in Alexandria via LeMat-Bulk.

abc: 2.9567 2.9567 6.5523
angles: 90.00 90.00 90.00
Last column: nearest neighbours and their distance in Å.
Space group P4mm (No. 99)
Inequivalent atoms, fractional coordinates:
Fe 0.0000 0.0000 0.0000 (multiplicity 1)  4 Fe 2.52, 4 Au 2.71
Fe 0.5000 0.5000 0.2137 (multiplicity 1)  4 Fe 2.52, 4 Rh 2.54
Rh 0.0000 0.0000 0.4346 (multiplicity 1)  5 Fe 2.54-2.85
Au 0.5000 0.5000 0.7377 (multiplicity 1)  4 Fe 2.71, 4 Rh 2.88, 4 Au 2.96

=====

First-principles (PBE) data for FeRhAu2 after structural relaxation, as listed in Alexandria via LeMat-Bulk.

abc: 2.8700 2.8700 7.6791
angles: 90.00 90.00 90.00
Last column: nearest neighbours and their distance in Å.
Space group P4mm (No. 99)
Inequivalent atoms, fractional coordinates:
Fe 0.0000 0.0000 0.0000 (multiplicity 1)  4 Rh 2.55, 4 Au 2.77
Rh 0.5000 0.5000 0.2007 (multiplicity 1)  4 Fe 2.55
Au 0.0000 0.0000 0.4692 (multiplicity 1)  8 Au 2.87-2.99, 4 Rh 2.89
Au 0.5000 0.5000 0.7549 (multiplicity 1)  4 Fe 2.77, 8 Au 2.87-2.99

Computed properties:
* relative energy among the computed polymorphs: 0 meV per atom

=====

First-principles (PBE) data for FeRh2Au after structural relaxation, as listed in Alexandria via LeMat-Bulk.

abc: 4.7313 2.7974 4.7443
angles: 90.00 109.36 90.00
Last column: nearest neighbours and their distance in Å.
Space group P2/m (No. 10)
Inequivalent atoms, fractional coordinates:
Fe 0.0000 0.0000 0.0000 (multiplicity 1)  6 Rh 2.74-2.75, 4 Au 2.75, 2 Fe 2.80
Rh 0.5000 0.0000 0.5000 (multiplicity 1)  2 Fe 2.74, 4 Au 2.75, 6 Rh 2.75-2.80
Rh 0.5000 0.5000 0.0000 (multiplicity 1)  2 Au 2.74, 4 Fe 2.75, 6 Rh 2.75-2.80
Au 0.0000 0.5000 0.5000 (multiplicity 1)  6 Rh 2.74-2.75, 4 Fe 2.75, 2 Au 2.80

=====

First-principles (PBE) data for FeRhAu2 after structural relaxation, as listed in Alexandria via LeMat-Bulk.

abc: 9.2331 2.9978 4.7497
angles: 90.00 105.00 90.00
Last column: nearest neighbours and their distance in Å.
Space group Cm (No. 8)
Inequivalent atoms, fractional coordinates:
Fe 0.0000 0.0000 0.0000 (multiplicity 2)  2 Rh 2.56, 6 Au 2.76-2.87
Rh 0.2265 0.5000 0.2155 (multiplicity 2)  2 Fe 2.56, 5 Au 2.76-2.84
Au 0.2506 0.0000 0.7420 (multiplicity 2)  3 Fe 2.76-2.88, 4 Rh 2.76-2.87, 5 Au 2.78-3.00
Au 0.4873 0.0000 0.4798 (multiplicity 2)  4 Fe 2.76-2.87, 5 Au 2.78-3.00, 3 Rh 2.81-2.84

Computed properties:
* relative energy among the computed polymorphs: 73 meV per atom

=====

First-principles (PBE) data for FeRhAu2 after structural relaxation, as listed in Alexandria via LeMat-Bulk.

abc: 3.9130 3.9130 4.1372
angles: 90.00 90.00 90.00
Last column: nearest neighbours and their distance in Å.
Space group P4/mmm (No. 123)
Inequivalent atoms, fractional coordinates:
Fe 0.0000 0.0000 0.0000 (multiplicity 1)  4 Rh 2.77, 8 Au 2.85
Rh 0.5000 0.5000 0.0000 (multiplicity 1)  4 Fe 2.77, 8 Au 2.85
Au 0.0000 0.5000 0.5000 (multiplicity 2)  4 Au 2.77, 4 Fe 2.85, 4 Rh 2.85

Computed properties:
* relative energy among the computed polymorphs: 61 meV per atom

=====

Looking at formation energy for the records above, in order, we have 0.0650, 0.0618, 0.0440, 0.0987, 0.1167, 0.1053 eV per atom.
Looking at density of states at the Fermi level for the records above, in order, we have 0.516, 0.905, 0.681, 1.052, 0.820, 0.808 states/eV/atom.